Below is an optimized crystal structure of CrIr2WS, with properties calculated at the PBE-GGA level.

## Properties
Raw formation energy in eV per formula unit: 9.975

Cell lengths 4.774, 4.774, 4.538 Å; angles 90.00, 90.00, 90.00 degrees
Positions (direct):
Cr1 0.000 0.000 0.000
Ir1 0.000 0.500 0.500
Ir2 0.500 0.000 0.500
W1 0.000 0.000 0.500
S1 0.500 0.500 0.000